Record 1
Here is a relaxed KGePO2 crystal from Alexandria via LeMat-Bulk. Energies are from PBE.

Structure (POSCAR):
```
KGePO2
1.0
4.482 0.000 0.000
0.000 4.482 0.000
0.000 0.000 6.104
K Ge P O
1 1 1 2
Direct
0.000 0.000 0.000
0.500 0.500 0.500
0.000 0.000 0.500
0.000 0.500 0.000
0.500 0.000 0.000
```

Results
DOS at the Fermi energy: 5.774 states/eV/f.u.
Crystal system: tetragonal
Energy above the most stable polymorph in this dataset: 1426 meV per atom
Space-group type: P4/mmm, No. 123
Formation energy without anion corrections: 1.1211 eV per atom
Raw total energy: -15.4 eV for the cell shown
Density: 2.4 g cm⁻³

=====

Record 2
Here is a relaxed MnHg4Pd7 crystal from Alexandria via LeMat-Bulk. Energies are from PBE.

Structure (POSCAR):
```
MnHg4Pd7
1.0
5.426 -2.433 0.000
5.426 2.433 0.000
-4.672 0.000 8.573
Mn Hg Pd
1 4 7
Direct
0.000 0.000 0.000
0.247 0.247 0.675
0.413 0.413 0.229
0.587 0.587 0.771
0.753 0.753 0.325
0.073 0.073 0.316
0.201 0.201 0.927
0.361 0.361 0.480
0.500 0.500 0.000
0.639 0.639 0.520
0.799 0.799 0.073
0.927 0.927 0.684
```

Results
DOS at the Fermi energy: 5.695 states/eV/f.u.
Crystal system: monoclinic
Space-group type: C2/m, No. 12
Raw total energy: -46.3 eV for the cell shown
Energy of formation: 0.034 eV/atom
Density: 11.8 g cm⁻³

=====

Record 3
Here is a relaxed AlCrCuRu crystal from Alexandria via LeMat-Bulk. Energies are from PBE.

Structure (POSCAR):
```
AlCrCuRu
1.0
0.000 2.976 2.976
2.976 0.000 2.976
2.976 2.976 0.000
Al Cr Cu Ru
1 1 1 1
Direct
0.000 0.000 0.000
0.500 0.500 0.500
0.250 0.250 0.250
0.750 0.750 0.750
```

Results
DOS at the Fermi energy: 3.444 states/eV/f.u.
Crystal system: cubic
Space-group type: F-43m, No. 216
Raw total energy: -27.2 eV for the cell shown
Energy of formation: -0.128 eV/atom
Density: 7.7 g cm⁻³

=====

Short version: M_tot = 3.920, 4.851, 1.838 Bohr magnetons per cell, in the order given.